No. 1
Computed, not measured: a relaxed TmTlAg2I6 crystal at the PBE level of DFT.

Values from the calculation:
- ΔE_f (raw) (eV/atom) = -0.722
- volume (Å³/cell) = 386.01

abc: 8.5340 8.5340 8.5340
angles: 54.77 54.77 54.77
Closest atoms and distances in Å follow each position.
Fractional coordinates of all 10 atoms:
Tm  0.0000  0.0000  0.0000  6 I 3.00-3.04
Tl  0.5157  0.5157  0.5157  6 I 3.41-3.57
Ag  0.3365  0.3365  0.3365  6 I 3.08-3.12
Ag  0.8188  0.8188  0.8188  6 I 3.10-3.15
I  0.0660  0.4065  0.7485  1 Tm 3.04, 2 Ag 3.08-3.10
I  0.1828  0.9728  0.5887  1 Tm 3.00, 2 Ag 3.12-3.15
I  0.4065  0.7485  0.0660  1 Tm 3.04, 2 Ag 3.08-3.10
I  0.5887  0.1828  0.9728  1 Tm 3.00, 2 Ag 3.12-3.15
I  0.7485  0.0660  0.4065  1 Tm 3.04, 2 Ag 3.08-3.10
I  0.9728  0.5887  0.1828  1 Tm 3.00, 2 Ag 3.12-3.15

***

No. 2
Computed, not measured: a relaxed Sr2AlGe3 crystal at the PBE level of DFT.

Values from the calculation:
- formation enthalpy at 0 K (kcal/mol of atoms) = -10.07
- offset from the most stable computed form (meV/atom) = 63.4
- volume (Å³/cell) = 312.67

abc: 8.7603 8.7108 6.4856
angles: 68.62 67.80 43.58
Closest atoms and distances in Å follow each position.
Fractional coordinates of all 12 atoms:
Sr  0.2389  0.7611  0.2389  10 Ge 3.31-3.50, 2 Al 3.45
Sr  0.2500  0.2500  0.2500  8 Ge 3.37-3.48, 4 Al 3.48
Sr  0.7500  0.7500  0.7500  8 Ge 3.37-3.48, 4 Al 3.48
Sr  0.7611  0.2389  0.7611  10 Ge 3.31-3.50, 2 Al 3.45
Al  0.3349  0.3349  0.6651  3 Ge 2.49-2.51
Al  0.6651  0.6651  0.3349  3 Ge 2.49-2.51
Ge  0.1658  0.1658  0.8342  1 Al 2.51, 2 Ge 2.64
Ge  0.1738  0.6555  0.8262  1 Al 2.49, 2 Ge 2.54-2.64
Ge  0.3445  0.8262  0.6555  1 Al 2.49, 2 Ge 2.54-2.64
Ge  0.6555  0.1738  0.3445  1 Al 2.49, 2 Ge 2.54-2.64
Ge  0.8262  0.3445  0.1738  1 Al 2.49, 2 Ge 2.54-2.64
Ge  0.8342  0.8342  0.1658  1 Al 2.51, 2 Ge 2.64